Record 1
DFT (GGA+U) results for a relaxed LiNbVO4 crystal.

Its final energy is -7.837 eV per atom.

It has space group Cmcm (No. 63), with a = 5.944 Å, b = 9.111 Å, c = 6.456 Å, α = 90.00°, β = 90.00° and γ = 90.00°. The asymmetric unit holds Li at (0.000, 0.162, 0.250), Nb at (0.000, 0.148, 0.750), V at (0.000, 0.500, 0.000), O at (0.000, 0.263, 0.513) and O at (0.246, 0.012, 0.750).

Record 2
DFT (GGA+U) results for a relaxed RbMnFeO4 crystal.

Its final energy is -6.102 eV per atom.

It has space group P2_1/m (No. 11), with a = 5.547 Å, b = 5.505 Å, c = 7.170 Å, α = 90.00°, β = 99.74° and γ = 90.00°. The asymmetric unit holds Rb at (0.171, 0.250, 0.096), Mn at (0.140, 0.750, 0.458), Fe at (0.397, 0.250, 0.647), O at (0.125, 0.022, 0.656), O at (0.283, 0.750, 0.220) and O at (0.477, 0.750, 0.579).